[1]
TaFePO2 | GGA+U | relaxed

Properties
N(E_F) in states/eV/f.u.: 2.27
Total moment in μB per formula unit: 4.03
Crystal system: tetragonal
Energy relative to the lowest polymorph listed for this composition in eV/f.u.: 4.71
Space-group type: No. 123

Lattice parameters (Å, degrees): 3.7106 3.7106 4.8954 90.00 90.00 90.00
Closest atoms and distances in Å follow each position.
Atoms (fractional coordinates):
Ta (0.0000, 0.0000, 0.0000)  4 P 2.62
Fe (0.5000, 0.5000, 0.5000)  4 O 1.86
P (0.5000, 0.5000, 0.0000)  2 Fe 2.45, 4 Ta 2.62
O (0.0000, 0.5000, 0.5000)  2 Fe 1.86
O (0.5000, 0.0000, 0.5000)  2 Fe 1.86



[2]
TaFeP2O | GGA+U | relaxed

Properties
N(E_F) in states/eV/f.u.: 3.12
Total moment in μB per formula unit: 2.98
Crystal system: tetragonal
Energy relative to the lowest polymorph listed for this composition in eV/f.u.: 2.93
Space-group type: No. 123

Lattice parameters (Å, degrees): 4.6219 4.6219 3.4932 90.00 90.00 90.00
Closest atoms and distances in Å follow each position.
Atoms (fractional coordinates):
Ta (0.0000, 0.0000, 0.0000)  8 P 2.90
Fe (0.5000, 0.5000, 0.5000)  2 O 1.75
P (0.0000, 0.5000, 0.5000)  2 Fe 2.31
P (0.5000, 0.0000, 0.5000)  2 Fe 2.31
O (0.5000, 0.5000, 0.0000)  2 Fe 1.75



The energy results, record by record, are as follows: -33.79 -31.69 eV/cell.